This record from Alexandria via LeMat-Bulk describes an optimized crystal structure of Y4TlGaHg2. The functional is GGA-PBE.

```
Y4TlGaHg2
1.0
-1.8870 -2.5167 4.2097
-4.5815 -2.5562 -0.3018
1.9794 -8.8189 -1.1050
Y Hg Ga Tl
4 2 1 1
direct
0.1289 0.1289 0.6132 Y
0.6206 0.6206 0.1381 Y
0.3794 0.3794 0.8619 Y
0.8711 0.8711 0.3868 Y
0.2514 0.2514 0.2457 Hg
0.7486 0.7486 0.7543 Hg
0.5000 0.5000 0.5000 Ga
0.0000 0.0000 0.0000 Tl
```

Results
The calculation puts the energy relative to the elements at -496 meV per atom. The space group is R-3m, No. 166.